(1)
# SrMgV2O7, optimized geometry, DFT GGA-PBEsol
# Formation energy from raw total energies, eV per atom: -2.68
# Crystal system: monoclinic
# E_tot, eV per atom: -8.099
# Total magnetic moment, μB per formula unit: 0.0
# Space group: P2_1/c (14)
data_SrMgV2O7
_cell_length_a 6.799
_cell_length_b 14.814
_cell_length_c 11.272
_cell_angle_alpha 90.00
_cell_angle_beta 99.01
_cell_angle_gamma 90.00
_symmetry_space_group_name_H-M 'P 1'
_symmetry_Int_Tables_number 1
loop_
_symmetry_equiv_pos_as_xyz
'x,y,z'
loop_
_atom_site_label
_atom_site_fract_x
_atom_site_fract_y
_atom_site_fract_z
Sr1 0.084 0.006 0.240
Sr2 0.084 0.494 0.740
Sr3 0.343 0.124 0.978
Sr4 0.343 0.376 0.478
Sr5 0.657 0.624 0.522
Sr6 0.657 0.876 0.022
Sr7 0.916 0.506 0.260
Sr8 0.916 0.994 0.760
Mg1 0.009 0.245 0.248
Mg2 0.009 0.255 0.748
Mg3 0.360 0.675 0.923
Mg4 0.360 0.825 0.423
Mg5 0.640 0.175 0.577
Mg6 0.640 0.325 0.077
Mg7 0.991 0.745 0.252
Mg8 0.991 0.755 0.752
V1 0.131 0.136 0.520
V2 0.131 0.364 0.020
V3 0.154 0.637 0.520
V4 0.154 0.863 0.020
V5 0.409 0.512 0.180
V6 0.409 0.988 0.680
V7 0.483 0.700 0.201
V8 0.483 0.800 0.701
V9 0.517 0.200 0.299
V10 0.517 0.300 0.799
V11 0.591 0.012 0.320
V12 0.591 0.488 0.820
V13 0.846 0.137 0.980
V14 0.846 0.363 0.480
V15 0.869 0.636 0.980
V16 0.869 0.864 0.480
O1 0.004 0.145 0.114
O2 0.004 0.355 0.614
O3 0.008 0.647 0.631
O4 0.008 0.853 0.131
O5 0.036 0.141 0.372
O6 0.036 0.359 0.872
O7 0.047 0.658 0.888
O8 0.047 0.842 0.388
O9 0.225 0.028 0.551
O10 0.225 0.472 0.051
O11 0.255 0.533 0.539
O12 0.255 0.967 0.039
O13 0.283 0.018 0.790
O14 0.283 0.482 0.290
O15 0.307 0.744 0.276
O16 0.307 0.756 0.776
O17 0.316 0.235 0.797
O18 0.316 0.265 0.297
O19 0.325 0.209 0.549
O20 0.325 0.291 0.049
O21 0.347 0.715 0.538
O22 0.347 0.785 0.038
O23 0.395 0.618 0.086
O24 0.395 0.882 0.586
O25 0.405 0.561 0.828
O26 0.405 0.939 0.328
O27 0.430 0.102 0.215
O28 0.430 0.398 0.715
O29 0.570 0.602 0.285
O30 0.570 0.898 0.785
O31 0.595 0.061 0.672
O32 0.595 0.439 0.172
O33 0.605 0.118 0.414
O34 0.605 0.382 0.914
O35 0.653 0.215 0.962
O36 0.653 0.285 0.462
O37 0.675 0.709 0.951
O38 0.675 0.791 0.451
O39 0.684 0.735 0.703
O40 0.684 0.765 0.203
O41 0.693 0.244 0.224
O42 0.693 0.256 0.724
O43 0.717 0.518 0.710
O44 0.717 0.982 0.210
O45 0.745 0.033 0.961
O46 0.745 0.467 0.461
O47 0.775 0.528 0.949
O48 0.775 0.972 0.449
O49 0.953 0.158 0.612
O50 0.953 0.342 0.112
O51 0.964 0.641 0.128
O52 0.964 0.859 0.628
O53 0.992 0.147 0.869
O54 0.992 0.353 0.369
O55 0.996 0.645 0.386
O56 0.996 0.855 0.886


(2)
# SrMg30ZnO32, optimized geometry, DFT GGA-PBEsol
# Formation energy from raw total energies, eV per atom: -2.67
# Crystal system: tetragonal
# E_tot, eV per atom: -6.149
# Total magnetic moment, μB per formula unit: 0.0
# Space group: P4/mmm (123)
data_SrMg30ZnO32
_cell_length_a 8.519
_cell_length_b 8.519
_cell_length_c 8.528
_cell_angle_alpha 90.00
_cell_angle_beta 90.00
_cell_angle_gamma 90.00
_symmetry_space_group_name_H-M 'P 1'
_symmetry_Int_Tables_number 1
loop_
_symmetry_equiv_pos_as_xyz
'x,y,z'
loop_
_atom_site_label
_atom_site_fract_x
_atom_site_fract_y
_atom_site_fract_z
Sr1 0.000 0.000 0.000
Mg1 0.000 0.000 0.500
Mg2 0.000 0.255 0.255
Mg3 0.000 0.255 0.745
Mg4 0.000 0.500 0.000
Mg5 0.000 0.500 0.500
Mg6 0.000 0.745 0.255
Mg7 0.000 0.745 0.745
Mg8 0.251 0.251 0.500
Mg9 0.251 0.500 0.251
Mg10 0.251 0.500 0.749
Mg11 0.251 0.749 0.500
Mg12 0.255 0.000 0.255
Mg13 0.255 0.000 0.745
Mg14 0.255 0.255 0.000
Mg15 0.255 0.745 0.000
Mg16 0.500 0.000 0.000
Mg17 0.500 0.000 0.500
Mg18 0.500 0.251 0.251
Mg19 0.500 0.251 0.749
Mg20 0.500 0.500 0.500
Mg21 0.500 0.749 0.251
Mg22 0.500 0.749 0.749
Mg23 0.745 0.000 0.255
Mg24 0.745 0.000 0.745
Mg25 0.745 0.255 0.000
Mg26 0.745 0.745 0.000
Mg27 0.749 0.251 0.500
Mg28 0.749 0.500 0.251
Mg29 0.749 0.500 0.749
Mg30 0.749 0.749 0.500
Zn1 0.500 0.500 0.000
O1 0.000 0.000 0.270
O2 0.000 0.000 0.730
O3 0.000 0.254 0.500
O4 0.000 0.270 0.000
O5 0.000 0.500 0.253
O6 0.000 0.500 0.747
O7 0.000 0.730 0.000
O8 0.000 0.746 0.500
O9 0.250 0.250 0.250
O10 0.250 0.250 0.750
O11 0.250 0.750 0.250
O12 0.250 0.750 0.750
O13 0.251 0.500 0.500
O14 0.252 0.500 0.000
O15 0.254 0.000 0.500
O16 0.270 0.000 0.000
O17 0.500 0.000 0.253
O18 0.500 0.000 0.747
O19 0.500 0.251 0.500
O20 0.500 0.252 0.000
O21 0.500 0.500 0.255
O22 0.500 0.500 0.745
O23 0.500 0.748 0.000
O24 0.500 0.749 0.500
O25 0.730 0.000 0.000
O26 0.746 0.000 0.500
O27 0.748 0.500 0.000
O28 0.749 0.500 0.500
O29 0.750 0.250 0.250
O30 0.750 0.250 0.750
O31 0.750 0.750 0.250
O32 0.750 0.750 0.750


(3)
# Mg4Ta2O9, optimized geometry, DFT GGA-PBEsol
# Formation energy from raw total energies, eV per atom: -2.85
# Crystal system: trigonal
# E_tot, eV per atom: -8.132
# Total magnetic moment, μB per formula unit: 0.0
# Space group: P-3c1 (165)
data_Mg4Ta2O9
_cell_length_a 5.165
_cell_length_b 5.165
_cell_length_c 14.033
_cell_angle_alpha 90.00
_cell_angle_beta 90.00
_cell_angle_gamma 120.00
_symmetry_space_group_name_H-M 'P 1'
_symmetry_Int_Tables_number 1
loop_
_symmetry_equiv_pos_as_xyz
'x,y,z'
loop_
_atom_site_label
_atom_site_fract_x
_atom_site_fract_y
_atom_site_fract_z
Mg1 0.333 0.667 0.017
Mg2 0.333 0.667 0.310
Mg3 0.333 0.667 0.517
Mg4 0.333 0.667 0.810
Mg5 0.667 0.333 0.190
Mg6 0.667 0.333 0.483
Mg7 0.667 0.333 0.690
Mg8 0.667 0.333 0.983
Ta1 0.000 0.000 0.143
Ta2 0.000 0.000 0.357
Ta3 0.000 0.000 0.643
Ta4 0.000 0.000 0.857
O1 0.000 0.288 0.250
O2 0.000 0.712 0.750
O3 0.029 0.347 0.915
O4 0.029 0.682 0.415
O5 0.288 0.000 0.250
O6 0.288 0.288 0.750
O7 0.318 0.347 0.415
O8 0.318 0.971 0.915
O9 0.347 0.029 0.585
O10 0.347 0.318 0.085
O11 0.653 0.682 0.915
O12 0.653 0.971 0.415
O13 0.682 0.029 0.085
O14 0.682 0.653 0.585
O15 0.712 0.000 0.750
O16 0.712 0.712 0.250
O17 0.971 0.318 0.585
O18 0.971 0.653 0.085


(4)
# Mg2Ta2TiO8, optimized geometry, DFT GGA-PBEsol
# Formation energy from raw total energies, eV per atom: -2.76
# Crystal system: monoclinic
# E_tot, eV per atom: -8.822
# Total magnetic moment, μB per formula unit: 0.0
# Space group: C2/c (15)
data_Mg2Ta2TiO8
_cell_length_a 9.751
_cell_length_b 9.751
_cell_length_c 5.177
_cell_angle_alpha 91.51
_cell_angle_beta 91.51
_cell_angle_gamma 35.20
_symmetry_space_group_name_H-M 'P 1'
_symmetry_Int_Tables_number 1
loop_
_symmetry_equiv_pos_as_xyz
'x,y,z'
loop_
_atom_site_label
_atom_site_fract_x
_atom_site_fract_y
_atom_site_fract_z
Mg1 0.078 0.374 0.252
Mg2 0.374 0.078 0.752
Mg3 0.626 0.922 0.248
Mg4 0.922 0.626 0.748
Ta1 0.228 0.544 0.273
Ta2 0.456 0.772 0.227
Ta3 0.544 0.228 0.773
Ta4 0.772 0.456 0.727
Ti1 0.104 0.896 0.750
Ti2 0.896 0.104 0.250
O1 0.049 0.331 0.613
O2 0.090 0.793 0.067
O3 0.207 0.910 0.433
O4 0.221 0.410 0.961
O5 0.310 0.556 0.613
O6 0.331 0.049 0.113
O7 0.410 0.221 0.461
O8 0.444 0.690 0.887
O9 0.556 0.310 0.113
O10 0.590 0.779 0.539
O11 0.669 0.951 0.887
O12 0.690 0.444 0.387
O13 0.779 0.590 0.039
O14 0.793 0.090 0.567
O15 0.910 0.207 0.933
O16 0.951 0.669 0.387


(5)
# Tb2MgTiO6, optimized geometry, DFT GGA-PBEsol
# Formation energy from raw total energies, eV per atom: -3.34
# Crystal system: monoclinic
# E_tot, eV per atom: -8.497
# Total magnetic moment, μB per formula unit: 0.0
# Space group: P2_1/c (14)
data_Tb2MgTiO6
_cell_length_a 5.285
_cell_length_b 5.588
_cell_length_c 9.243
_cell_angle_alpha 90.00
_cell_angle_beta 124.59
_cell_angle_gamma 90.00
_symmetry_space_group_name_H-M 'P 1'
_symmetry_Int_Tables_number 1
loop_
_symmetry_equiv_pos_as_xyz
'x,y,z'
loop_
_atom_site_label
_atom_site_fract_x
_atom_site_fract_y
_atom_site_fract_z
Tb1 0.230 0.067 0.248
Tb2 0.230 0.433 0.748
Tb3 0.770 0.567 0.252
Tb4 0.770 0.933 0.752
Mg1 0.000 0.000 0.500
Mg2 0.000 0.500 0.000
Ti1 0.500 0.000 0.000
Ti2 0.500 0.500 0.500
O1 0.146 0.189 0.945
O2 0.146 0.311 0.445
O3 0.253 0.704 0.939
O4 0.253 0.796 0.439
O5 0.369 0.041 0.757
O6 0.369 0.459 0.257
O7 0.631 0.541 0.743
O8 0.631 0.959 0.243
O9 0.747 0.204 0.561
O10 0.747 0.296 0.061
O11 0.854 0.689 0.555
O12 0.854 0.811 0.055


(6)
# Mg2TcO, optimized geometry, DFT GGA-PBEsol
# Formation energy from raw total energies, eV per atom: -0.25
# Crystal system: tetragonal
# E_tot, eV per atom: -5.234
# Total magnetic moment, μB per formula unit: 2.6
# Space group: I-42d (122)
data_Mg2TcO
_cell_length_a 5.460
_cell_length_b 5.460
_cell_length_c 5.460
_cell_angle_alpha 111.49
_cell_angle_beta 111.49
_cell_angle_gamma 105.50
_symmetry_space_group_name_H-M 'P 1'
_symmetry_Int_Tables_number 1
loop_
_symmetry_equiv_pos_as_xyz
'x,y,z'
loop_
_atom_site_label
_atom_site_fract_x
_atom_site_fract_y
_atom_site_fract_z
Mg1 0.020 0.625 0.895
Mg2 0.375 0.270 0.395
Mg3 0.730 0.125 0.105
Mg4 0.875 0.980 0.605
Tc1 0.250 0.750 0.500
Tc2 0.500 0.500 0.000
O1 0.000 0.000 0.000
O2 0.750 0.250 0.500